Entry 1:
## Zn2Pd7Pb (PBE-GGA)

Data for a relaxed structure of Zn2Pd7Pb.

N(E_F) (states/eV per atom): 0.571
Density (g/cm³): 8.95
Calculated formation energy (eV per atom): 0.102
Symmetry: Cmmm (65)

abc: 7.184 7.184 4.441
angles: 90.00 90.00 118.77
Sites, in units of the cell vectors:
Zn 0.200 0.800 0.000
Zn 0.800 0.200 0.000
Pd 0.000 0.000 0.000
Pd 0.197 0.430 0.000
Pd 0.283 0.717 0.500
Pd 0.430 0.197 0.000
Pd 0.570 0.803 0.000
Pd 0.717 0.283 0.500
Pd 0.803 0.570 0.000
Pb 0.500 0.500 0.500


Entry 2:
## Zn3PdPb (PBE-GGA)

Data for a relaxed structure of Zn3PdPb.

N(E_F) (states/eV per atom): 0.430
Density (g/cm³): 7.51
Relative energy among the computed polymorphs (meV/atom): 0
Calculated formation energy (eV per atom): 0.057
Symmetry: Pm-3m (221)

abc: 4.831 4.831 4.831
angles: 90.00 90.00 90.00
Sites, in units of the cell vectors:
Zn 0.000 0.000 0.500
Zn 0.000 0.500 0.000
Zn 0.500 0.000 0.000
Pd 0.000 0.000 0.000
Pb 0.500 0.500 0.500


Entry 3:
## ZrPd2Pb2 (PBE-GGA)

Data for a relaxed structure of ZrPd2Pb2.

N(E_F) (states/eV per atom): 0.715
Density (g/cm³): 10.76
Relative energy among the computed polymorphs (meV/atom): 199
Calculated formation energy (eV per atom): 0.024
Symmetry: I4/mmm (139)

abc: 4.077 4.077 13.335
angles: 90.00 90.00 90.00
Sites, in units of the cell vectors:
Zr 0.000 0.000 0.000
Zr 0.500 0.500 0.500
Pd 0.000 0.500 0.250
Pd 0.000 0.500 0.750
Pd 0.500 0.000 0.250
Pd 0.500 0.000 0.750
Pb 0.000 0.000 0.389
Pb 0.000 0.000 0.611
Pb 0.500 0.500 0.111
Pb 0.500 0.500 0.889


Entry 4:
## ZrPd9Pb2 (PBE-GGA)

Data for a relaxed structure of ZrPd9Pb2.

N(E_F) (states/eV per atom): 0.138
Density (g/cm³): 11.89
Calculated formation energy (eV per atom): -0.471
Symmetry: P4/mmm (123)

abc: 4.077 4.077 12.297
angles: 90.00 90.00 90.00
Sites, in units of the cell vectors:
Zr 0.000 0.000 0.000
Pd 0.000 0.500 0.159
Pd 0.000 0.500 0.500
Pd 0.000 0.500 0.841
Pd 0.500 0.000 0.159
Pd 0.500 0.000 0.500
Pd 0.500 0.000 0.841
Pd 0.500 0.500 0.000
Pd 0.500 0.500 0.331
Pd 0.500 0.500 0.669
Pb 0.000 0.000 0.332
Pb 0.000 0.000 0.668


Entry 5:
## ZrPd6Pb (PBE-GGA)

Data for a relaxed structure of ZrPd6Pb.

N(E_F) (states/eV per atom): 0.268
Density (g/cm³): 11.51
Calculated formation energy (eV per atom): -0.555
Symmetry: P4/mmm (123)

abc: 4.071 4.071 8.157
angles: 90.00 90.00 90.00
Sites, in units of the cell vectors:
Zr 0.000 0.000 0.000
Pd 0.000 0.500 0.241
Pd 0.000 0.500 0.759
Pd 0.500 0.000 0.241
Pd 0.500 0.000 0.759
Pd 0.500 0.500 0.000
Pd 0.500 0.500 0.500
Pb 0.000 0.000 0.500


Entry 6:
## Zr2Pd6Pb (PBE-GGA)

Data for a relaxed structure of Zr2Pd6Pb.

N(E_F) (states/eV per atom): 0.588
Density (g/cm³): 10.34
Calculated formation energy (eV per atom): -0.409
Symmetry: Cmmm (65)

abc: 8.017 8.017 3.054
angles: 90.00 90.00 122.72
Sites, in units of the cell vectors:
Zr 0.187 0.813 0.000
Zr 0.813 0.187 0.000
Pd 0.147 0.471 0.500
Pd 0.175 0.175 0.000
Pd 0.471 0.147 0.500
Pd 0.529 0.853 0.500
Pd 0.825 0.825 0.000
Pd 0.853 0.529 0.500
Pb 0.500 0.500 0.500


Entry 7:
## ZrPdPb (PBE-GGA)

Data for a relaxed structure of ZrPdPb.

N(E_F) (states/eV per atom): 0.969
Density (g/cm³): 10.80
Calculated formation energy (eV per atom): -0.365
Symmetry: P-6m2 (187)

abc: 4.719 4.719 3.228
angles: 90.00 90.00 120.00
Sites, in units of the cell vectors:
Zr 0.000 0.000 0.000
Pd 0.333 0.667 0.500
Pb 0.667 0.333 0.500


Entry 8:
## Zr2Pd2Pb (PBE-GGA)

Data for a relaxed structure of Zr2Pd2Pb.

N(E_F) (states/eV per atom): 0.952
Density (g/cm³): 9.12
Calculated formation energy (eV per atom): -0.231
Symmetry: I4/mmm (139)

abc: 3.701 3.701 16.015
angles: 90.00 90.00 90.00
Sites, in units of the cell vectors:
Zr 0.000 0.000 0.121
Zr 0.000 0.000 0.879
Zr 0.500 0.500 0.379
Zr 0.500 0.500 0.621
Pd 0.000 0.500 0.250
Pd 0.000 0.500 0.750
Pd 0.500 0.000 0.250
Pd 0.500 0.000 0.750
Pb 0.000 0.000 0.500
Pb 0.500 0.500 0.000


Entry 9:
## Zr2Pd2Pb (PBE-GGA)

Data for a relaxed structure of Zr2Pd2Pb.

N(E_F) (states/eV per atom): 0.843
Density (g/cm³): 8.76
Calculated formation energy (eV per atom): -0.272
Symmetry: I4/mmm (139)

abc: 4.568 4.568 10.952
angles: 90.00 90.00 90.00
Sites, in units of the cell vectors:
Zr 0.000 0.500 0.250
Zr 0.000 0.500 0.750
Zr 0.500 0.000 0.250
Zr 0.500 0.000 0.750
Pd 0.000 0.000 0.118
Pd 0.000 0.000 0.882
Pd 0.500 0.500 0.382
Pd 0.500 0.500 0.618
Pb 0.000 0.000 0.500
Pb 0.500 0.500 0.000


Entry 10:
## ZrPd12Pb3 (PBE-GGA)

Data for a relaxed structure of ZrPd12Pb3.

N(E_F) (states/eV per atom): 0.139
Density (g/cm³): 12.07
Calculated formation energy (eV per atom): -0.426
Symmetry: P4/mmm (123)

abc: 4.086 4.086 16.403
angles: 90.00 90.00 90.00
Sites, in units of the cell vectors:
Zr 0.000 0.000 0.000
Pd 0.000 0.500 0.119
Pd 0.000 0.500 0.374
Pd 0.000 0.500 0.626
Pd 0.000 0.500 0.881
Pd 0.500 0.000 0.119
Pd 0.500 0.000 0.374
Pd 0.500 0.000 0.626
Pd 0.500 0.000 0.881
Pd 0.500 0.500 0.000
Pd 0.500 0.500 0.247
Pd 0.500 0.500 0.500
Pd 0.500 0.500 0.753
Pb 0.000 0.000 0.249
Pb 0.000 0.000 0.500
Pb 0.000 0.000 0.751


Entry 11:
## ZrPd2Pb2 (PBE-GGA)

Data for a relaxed structure of ZrPd2Pb2.

N(E_F) (states/eV per atom): 0.718
Density (g/cm³): 11.21
Relative energy among the computed polymorphs (meV/atom): 58
Calculated formation energy (eV per atom): -0.117
Symmetry: P4/mbm (127)

abc: 8.089 8.089 3.253
angles: 90.00 90.00 90.00
Sites, in units of the cell vectors:
Zr 0.000 0.000 0.000
Zr 0.500 0.500 0.000
Pd 0.150 0.350 0.500
Pd 0.350 0.850 0.500
Pd 0.650 0.150 0.500
Pd 0.850 0.650 0.500
Pb 0.149 0.649 0.000
Pb 0.351 0.149 0.000
Pb 0.649 0.851 0.000
Pb 0.851 0.351 0.000


Entry 12:
## Zr3PdPb (PBE-GGA)

Data for a relaxed structure of Zr3PdPb.

N(E_F) (states/eV per atom): 1.827
Density (g/cm³): 6.43
Relative energy among the computed polymorphs (meV/atom): 1077
Calculated formation energy (eV per atom): 1.279
Symmetry: Pm-3m (221)

abc: 5.332 5.332 5.332
angles: 90.00 90.00 90.00
Sites, in units of the cell vectors:
Zr 0.000 0.000 0.500
Zr 0.000 0.500 0.000
Zr 0.500 0.000 0.000
Pd 0.500 0.500 0.500
Pb 0.000 0.000 0.000


Entry 13:
## ZrPd5Pb (PBE-GGA)

Data for a relaxed structure of ZrPd5Pb.

N(E_F) (states/eV per atom): 0.606
Density (g/cm³): 10.40
Calculated formation energy (eV per atom): -0.292
Symmetry: P4/mmm (123)

abc: 4.789 4.789 5.780
angles: 90.00 90.00 90.00
Sites, in units of the cell vectors:
Zr 0.000 0.000 0.000
Pd 0.000 0.000 0.500
Pd 0.000 0.500 0.243
Pd 0.000 0.500 0.757
Pd 0.500 0.000 0.243
Pd 0.500 0.000 0.757
Pb 0.500 0.500 0.500


Entry 14:
## ZrPd2Pb2 (PBE-GGA)

Data for a relaxed structure of ZrPd2Pb2.

N(E_F) (states/eV per atom): 0.649
Density (g/cm³): 11.22
Relative energy among the computed polymorphs (meV/atom): 0
Calculated formation energy (eV per atom): -0.174
Symmetry: P4/mbm (127)

abc: 7.712 7.712 3.576
angles: 90.00 90.00 90.00
Sites, in units of the cell vectors:
Zr 0.000 0.000 0.000
Zr 0.500 0.500 0.000
Pd 0.127 0.373 0.000
Pd 0.373 0.873 0.000
Pd 0.627 0.127 0.000
Pd 0.873 0.627 0.000
Pb 0.173 0.673 0.500
Pb 0.327 0.173 0.500
Pb 0.673 0.827 0.500
Pb 0.827 0.327 0.500


Entry 15:
## Zr3PdPb (PBE-GGA)

Data for a relaxed structure of Zr3PdPb.

N(E_F) (states/eV per atom): 0.786
Density (g/cm³): 7.42
Relative energy among the computed polymorphs (meV/atom): 0
Calculated formation energy (eV per atom): 0.202
Symmetry: Pm-3m (221)

abc: 5.084 5.084 5.084
angles: 90.00 90.00 90.00
Sites, in units of the cell vectors:
Zr 0.000 0.000 0.500
Zr 0.000 0.500 0.000
Zr 0.500 0.000 0.000
Pd 0.000 0.000 0.000
Pb 0.500 0.500 0.500


Entry 16:
## ZrPdPb (PBE-GGA)

Data for a relaxed structure of ZrPdPb.

N(E_F) (states/eV per atom): 0.961
Density (g/cm³): 10.37
Calculated formation energy (eV per atom): -0.326
Symmetry: I4mm (107)

abc: 3.366 3.366 11.448
angles: 90.00 90.00 90.00
Sites, in units of the cell vectors:
Zr 0.000 0.000 0.000
Zr 0.500 0.500 0.500
Pd 0.000 0.000 0.371
Pd 0.500 0.500 0.871
Pb 0.000 0.000 0.698
Pb 0.500 0.500 0.198


Entry 17:
## Pm8Pb (PBE-GGA)

Data for a relaxed structure of Pm8Pb.

N(E_F) (states/eV per atom): 1.555
Density (g/cm³): 7.58
Calculated formation energy (eV per atom): -0.087
Symmetry: I4/mmm (139)

abc: 8.171 8.171 8.171
angles: 95.23 95.23 144.87
Sites, in units of the cell vectors:
Pm 0.000 0.336 0.336
Pm 0.000 0.664 0.664
Pm 0.336 0.000 0.336
Pm 0.340 0.340 0.680
Pm 0.340 0.660 0.000
Pm 0.660 0.340 0.000
Pm 0.660 0.660 0.320
Pm 0.664 0.000 0.664
Pb 0.000 0.000 0.000


Entry 18:
## PmPb4 (PBE-GGA)

Data for a relaxed structure of PmPb4.

N(E_F) (states/eV per atom): 0.993
Density (g/cm³): 7.69
Relative energy among the computed polymorphs (meV/atom): 679
Calculated formation energy (eV per atom): 0.475
Symmetry: Pm-3m (221)

abc: 5.948 5.948 5.948
angles: 90.00 90.00 90.00
Sites, in units of the cell vectors:
Pm 0.000 0.000 0.000
Pb 0.000 0.000 0.500
Pb 0.000 0.500 0.000
Pb 0.500 0.000 0.000
Pb 0.500 0.500 0.500


Entry 19:
## Pm4Pb5 (PBE-GGA)

Data for a relaxed structure of Pm4Pb5.

N(E_F) (states/eV per atom): 0.986
Density (g/cm³): 9.87
Calculated formation energy (eV per atom): -0.464
Symmetry: P6_3/mcm (193)

abc: 9.748 9.748 6.609
angles: 90.00 90.00 120.00
Sites, in units of the cell vectors:
Pm 0.000 0.000 0.000
Pm 0.000 0.000 0.500
Pm 0.000 0.379 0.250
Pm 0.000 0.621 0.750
Pm 0.379 0.000 0.250
Pm 0.379 0.379 0.750
Pm 0.621 0.000 0.750
Pm 0.621 0.621 0.250
Pb 0.000 0.291 0.750
Pb 0.000 0.709 0.250
Pb 0.291 0.000 0.750
Pb 0.291 0.291 0.250
Pb 0.333 0.667 0.000
Pb 0.333 0.667 0.500
Pb 0.667 0.333 0.000
Pb 0.667 0.333 0.500
Pb 0.709 0.000 0.250
Pb 0.709 0.709 0.750


Entry 20:
## Pm3Pb (PBE-GGA)

Data for a relaxed structure of Pm3Pb.

N(E_F) (states/eV per atom): 2.107
Density (g/cm³): 8.60
Relative energy among the computed polymorphs (meV/atom): 191
Calculated formation energy (eV per atom): -0.142
Symmetry: Fm-3m (225)

abc: 7.915 7.915 7.915
angles: 90.00 90.00 90.00
Sites, in units of the cell vectors:
Pm 0.000 0.000 0.000
Pm 0.000 0.500 0.500
Pm 0.250 0.250 0.250
Pm 0.250 0.250 0.750
Pm 0.250 0.750 0.250
Pm 0.250 0.750 0.750
Pm 0.500 0.000 0.500
Pm 0.500 0.500 0.000
Pm 0.750 0.250 0.250
Pm 0.750 0.250 0.750
Pm 0.750 0.750 0.250
Pm 0.750 0.750 0.750
Pb 0.000 0.000 0.500
Pb 0.000 0.500 0.000
Pb 0.500 0.000 0.000
Pb 0.500 0.500 0.500


Entry 21:
## Pm3Pb (PBE-GGA)

Data for a relaxed structure of Pm3Pb.

N(E_F) (states/eV per atom): 1.000
Density (g/cm³): 8.41
Relative energy among the computed polymorphs (meV/atom): 66
Calculated formation energy (eV per atom): -0.267
Symmetry: Imm2 (44)

abc: 3.669 11.402 6.061
angles: 90.00 90.00 90.00
Sites, in units of the cell vectors:
Pm 0.000 0.000 0.000
Pm 0.000 0.230 0.638
Pm 0.000 0.770 0.638
Pm 0.500 0.270 0.138
Pm 0.500 0.500 0.500
Pm 0.500 0.730 0.138
Pb 0.000 0.500 0.962
Pb 0.500 0.000 0.462


Entry 22:
## Pm6Pb5 (PBE-GGA)

Data for a relaxed structure of Pm6Pb5.

N(E_F) (states/eV per atom): 0.992
Density (g/cm³): 9.00
Calculated formation energy (eV per atom): -0.428
Symmetry: C2/m (12)

abc: 9.790 9.790 5.745
angles: 106.99 106.99 124.73
Sites, in units of the cell vectors:
Pm 0.078 0.413 0.745
Pm 0.240 0.240 0.239
Pm 0.413 0.078 0.745
Pm 0.587 0.922 0.255
Pm 0.760 0.760 0.761
Pm 0.922 0.587 0.255
Pb 0.000 0.000 0.500
Pb 0.170 0.830 0.000
Pb 0.344 0.656 0.500
Pb 0.656 0.344 0.500
Pb 0.830 0.170 0.000


Entry 23:
## Pm2Pb3 (PBE-GGA)

Data for a relaxed structure of Pm2Pb3.

N(E_F) (states/eV per atom): 0.413
Density (g/cm³): 9.72
Calculated formation energy (eV per atom): -0.446
Symmetry: P4/mbm (127)

abc: 8.326 8.326 4.495
angles: 90.00 90.00 90.00
Sites, in units of the cell vectors:
Pm 0.175 0.325 0.000
Pm 0.325 0.825 0.000
Pm 0.675 0.175 0.000
Pm 0.825 0.675 0.000
Pb 0.000 0.000 0.500
Pb 0.129 0.629 0.500
Pb 0.371 0.129 0.500
Pb 0.500 0.500 0.500
Pb 0.629 0.871 0.500
Pb 0.871 0.371 0.500


Entry 24:
## PmPb (PBE-GGA)

Data for a relaxed structure of PmPb.

N(E_F) (states/eV per atom): 0.631
Density (g/cm³): 9.31
Calculated formation energy (eV per atom): -0.488
Symmetry: P2_1/m (11)

abc: 3.780 5.370 6.472
angles: 90.00 106.90 90.00
Sites, in units of the cell vectors:
Pm 0.128 0.250 0.257
Pm 0.872 0.750 0.743
Pb 0.390 0.250 0.777
Pb 0.610 0.750 0.223


Entry 25:
## Pm3Pb (PBE-GGA)

Data for a relaxed structure of Pm3Pb.

N(E_F) (states/eV per atom): 1.202
Density (g/cm³): 8.64
Relative energy among the computed polymorphs (meV/atom): 36
Calculated formation energy (eV per atom): -0.297
Symmetry: I4/mmm (139)

abc: 4.876 4.876 10.376
angles: 90.00 90.00 90.00
Sites, in units of the cell vectors:
Pm 0.000 0.000 0.000
Pm 0.000 0.500 0.250
Pm 0.000 0.500 0.750
Pm 0.500 0.000 0.250
Pm 0.500 0.000 0.750
Pm 0.500 0.500 0.500
Pb 0.000 0.000 0.500
Pb 0.500 0.500 0.000